# 1
Density functional theory data (PBE) for GeRuCl2 after structural relaxation.

Calculated values
E_form (uncorrected) in eV per atom: 0.60

Cell: 6.9775 6.9775 6.9775 Å, 130.05 130.05 73.33°
With the nearest neighbours (Å) after each atom.
Fractional positions:
Ge1 0.0000 0.0000 0.0000  4 Cl 2.72
Ge2 0.7500 0.2500 0.5000  4 Cl 2.72
Ru1 0.2500 0.7500 0.5000  4 Cl 2.33
Ru2 0.5000 0.5000 0.0000  4 Cl 2.33
Cl1 0.1819 0.6250 0.0569  2 Ru 2.33
Cl2 0.3750 0.4319 0.5569  2 Ru 2.33
Cl3 0.5681 0.1250 0.9431  2 Ru 2.33
Cl4 0.8750 0.8181 0.4431  2 Ru 2.33

# 2
Density functional theory data (PBE) for ErPuCl after structural relaxation.

Calculated values
E_form (uncorrected) in eV per atom: -0.57

Cell: 4.2398 4.2398 9.2294 Å, 90.00 90.00 90.00°
With the nearest neighbours (Å) after each atom.
Fractional positions:
Er1 0.2500 0.2500 0.2021  4 Cl 2.82
Er2 0.7500 0.7500 0.7979  4 Cl 2.82
Pu1 0.2500 0.2500 0.5571  4 Pu 3.18, 1 Er 3.28
Pu2 0.7500 0.7500 0.4429  4 Pu 3.18, 1 Er 3.28
Cl1 0.2500 0.7500 0.0000  4 Er 2.82, 4 Cl 3.00
Cl2 0.7500 0.2500 0.0000  4 Er 2.82, 4 Cl 3.00

# 3
Density functional theory data (PBE) for KLaRe2 after structural relaxation.

Calculated values
Energy of formation from the pure elements in meV/atom: 1109

Cell: 4.0967 4.0967 7.3826 Å, 90.00 90.00 90.00°
With the nearest neighbours (Å) after each atom.
Fractional positions:
K1 0.0000 0.0000 0.0000  2 La 3.69, 8 Re 3.88, 4 K 4.10
La1 0.0000 0.0000 0.5000  8 Re 3.10
Re1 0.5000 0.5000 0.3498  1 Re 2.22
Re2 0.5000 0.5000 0.6502  1 Re 2.22

# 4
Density functional theory data (PBE) for Th6Te3P2Pt after structural relaxation.

Calculated values
E_form (uncorrected) in eV per atom: -1.29

Cell: 9.8782 9.8782 8.9377 Å, 106.51 106.51 24.53°
With the nearest neighbours (Å) after each atom.
Fractional positions:
Th1 0.0104 0.0104 0.2270  2 Pt 2.88, 1 P 2.91
Th2 0.3241 0.3241 0.4392  3 P 2.87-2.89
Th3 0.3378 0.3378 0.8870  2 P 2.88, 1 Pt 3.00
Th4 0.6622 0.6622 0.1130  2 P 2.88, 1 Pt 3.00
Th5 0.6759 0.6759 0.5608  3 P 2.87-2.89
Th6 0.9896 0.9896 0.7730  2 Pt 2.88, 1 P 2.91
Te1 0.1648 0.1648 0.8333  6 Th 3.23-3.28
Te2 0.5000 0.5000 0.5000  6 Th 3.27-3.28
Te3 0.8352 0.8352 0.1667  6 Th 3.23-3.28
P1 0.1678 0.1678 0.3371  6 Th 2.87-2.91
P2 0.8322 0.8322 0.6629  6 Th 2.87-2.91
Pt1 0.5000 0.5000 0.0000  6 Th 2.88-3.00

# 5
Density functional theory data (PBE) for K2BaIrO4 after structural relaxation.

Calculated values
E_form (uncorrected) in eV per atom: -1.54

Cell: 5.7785 5.7785 5.7785 Å, 112.83 112.83 102.94°
With the nearest neighbours (Å) after each atom.
Fractional positions:
K1 0.0000 0.0000 0.0000  8 O 2.91
K2 0.7500 0.2500 0.5000  4 O 2.59
Ba1 0.5000 0.5000 0.0000  8 O 2.91
Ir1 0.2500 0.7500 0.5000  4 O 1.93
O1 0.0367 0.5367 0.0734  1 Ir 1.93
O2 0.0367 0.9633 0.5000  1 Ir 1.93
O3 0.4633 0.5367 0.5000  1 Ir 1.93
O4 0.4633 0.9633 0.9266  1 Ir 1.93

# 6
Density functional theory data (PBE) for La2YH after structural relaxation.

Calculated values
DFT total energy in eV per atom: -4.851

Cell: 3.4636 3.4636 8.7964 Å, 90.00 90.00 90.00°
With the nearest neighbours (Å) after each atom.
Fractional positions:
La1 0.0000 0.0000 0.1753  4 H 2.89, 1 La 3.08
La2 0.0000 0.0000 0.8247  4 H 2.89, 1 La 3.08
Y1 0.5000 0.5000 0.5000  4 Y 3.46, 8 La 3.76
H1 0.5000 0.5000 0.0000  8 La 2.89

# 7
Density functional theory data (PBE) for CdNi2SbPt after structural relaxation.

Calculated values
E_form (uncorrected) in eV per atom: 1.00

Cell: 4.5887 4.5887 5.2700 Å, 90.00 90.00 90.00°
With the nearest neighbours (Å) after each atom.
Fractional positions:
Cd1 0.0000 0.0000 0.0000  2 Sb 2.64
Ni1 0.0000 0.5000 0.5000  2 Sb 2.29
Ni2 0.5000 0.0000 0.5000  2 Sb 2.29
Sb1 0.0000 0.0000 0.5000  4 Ni 2.29
Pt1 0.5000 0.5000 0.0000  4 Cd 3.24, 8 Ni 3.49

# 8
Density functional theory data (PBE) for K2TiN after structural relaxation.

Calculated values
E_form (uncorrected) in eV per atom: 0.10

Cell: 8.7432 8.7432 8.7432 Å, 92.88 92.88 154.10°
With the nearest neighbours (Å) after each atom.
Fractional positions:
K1 0.3750 0.1814 0.3064  2 N 3.13, 2 Ti 3.42
K2 0.8186 0.1250 0.1936  2 N 3.13, 2 Ti 3.42
K3 0.8750 0.0686 0.6936  2 N 3.13, 2 Ti 3.42
K4 0.9314 0.6250 0.8064  2 N 3.13, 2 Ti 3.42
Ti1 0.2500 0.7500 0.5000  2 N 1.96
Ti2 0.5000 0.5000 0.0000  2 N 1.96
N1 0.0000 0.0000 0.0000  2 Ti 1.96
N2 0.7500 0.2500 0.5000  2 Ti 1.96

# 9
Density functional theory data (PBE) for RbGaRhF6 after structural relaxation.

Calculated values
E_form (uncorrected) in eV per atom: -2.18

Cell: 5.4802 5.4802 6.0471 Å, 90.53 90.53 118.38°
With the nearest neighbours (Å) after each atom.
Fractional positions:
Rb1 0.0000 0.0000 0.0000  6 F 2.80-2.83
Ga1 0.6628 0.3372 0.5000  6 F 1.88-1.98
Rh1 0.3281 0.6719 0.5000  4 F 2.07-2.10
F1 0.3691 0.3658 0.3275  1 Ga 1.98, 1 Rh 2.07
F2 0.3696 0.0283 0.6650  1 Ga 1.98, 1 Rh 2.10
F3 0.6342 0.6309 0.6725  1 Ga 1.98, 1 Rh 2.07
F4 0.6484 0.0676 0.2990  1 Ga 1.88
F5 0.9324 0.3516 0.7010  1 Ga 1.88
F6 0.9717 0.6304 0.3350  1 Ga 1.98, 1 Rh 2.10

# 10
Density functional theory data (PBE) for BaLa2Co after structural relaxation.

Calculated values
Energy of formation from the pure elements in meV/atom: 503

Cell: 5.4610 5.4610 5.4610 Å, 60.00 60.00 60.00°
With the nearest neighbours (Å) after each atom.
Fractional positions:
Ba1 0.0000 0.0000 0.0000  8 La 3.34
La1 0.2500 0.2500 0.2500  4 Co 3.34, 4 Ba 3.34
La2 0.7500 0.7500 0.7500  4 Co 3.34, 4 Ba 3.34
Co1 0.5000 0.5000 0.5000  8 La 3.34

# 11
Density functional theory data (PBE) for ZrCuW2 after structural relaxation.

Calculated values
Energy of formation from the pure elements in meV/atom: 208

Cell: 4.5527 4.5527 4.5527 Å, 60.00 60.00 60.00°
With the nearest neighbours (Å) after each atom.
Fractional positions:
Zr1 0.0000 0.0000 0.0000  4 W 2.79, 4 Cu 2.79
Cu1 0.7500 0.7500 0.7500  4 W 2.79, 4 Zr 2.79
W1 0.2500 0.2500 0.2500  4 Zr 2.79, 4 W 2.79
W2 0.5000 0.5000 0.5000  4 Cu 2.79, 4 W 2.79

# 12
Density functional theory data (PBE) for PtN after structural relaxation.

Calculated values
E_form (uncorrected) in eV per atom: 1.32

Cell: 3.1434 3.1434 5.4123 Å, 90.00 90.00 120.00°
With the nearest neighbours (Å) after each atom.
Fractional positions:
Pt1 0.0000 0.0000 0.0000  6 N 2.26
Pt2 0.0000 0.0000 0.5000  6 N 2.26
N1 0.3333 0.6667 0.2500  6 Pt 2.26
N2 0.6667 0.3333 0.7500  6 Pt 2.26

# 13
Density functional theory data (PBE) for BaAlPS2 after structural relaxation.

Calculated values
E_form (uncorrected) in eV per atom: -0.80

Cell: 4.9325 4.9325 4.6710 Å, 90.00 90.00 90.00°
With the nearest neighbours (Å) after each atom.
Fractional positions:
Ba1 0.0000 0.0000 0.0000  8 S 3.40, 4 P 3.49
Al1 0.5000 0.5000 0.5000  2 P 2.34, 4 S 2.47
P1 0.5000 0.5000 0.0000  2 Al 2.34
S1 0.0000 0.5000 0.5000  2 Al 2.47
S2 0.5000 0.0000 0.5000  2 Al 2.47

# 14
Density functional theory data (PBE) for YNpSeO2 after structural relaxation.

Calculated values
E_form (uncorrected) in eV per atom: -2.64

Cell: 6.6779 6.6779 6.6779 Å, 146.61 146.61 47.94°
With the nearest neighbours (Å) after each atom.
Fractional positions:
Y1 0.0000 0.0000 0.0000  4 O 2.24
Np1 0.3000 0.3000 0.0000  4 O 2.30
Se1 0.6530 0.6530 0.0000  4 Np 3.25, 4 Y 3.29, 8 O 3.59-3.62
O1 0.4045 0.9045 0.5000  2 Y 2.24, 2 Np 2.30
O2 0.9045 0.4045 0.5000  2 Y 2.24, 2 Np 2.30

# 15
Density functional theory data (PBE) for Sr3PmSe4 after structural relaxation.

Calculated values
E_form (uncorrected) in eV per atom: -1.98

Cell: 7.5811 7.5811 4.3538 Å, 90.00 90.00 109.29°
With the nearest neighbours (Å) after each atom.
Fractional positions:
Sr1 0.0000 0.0000 0.0000  6 Se 3.15-3.16
Sr2 0.0000 0.5000 0.5000  6 Se 3.09
Sr3 0.5000 0.0000 0.5000  6 Se 3.09
Pm1 0.5000 0.5000 0.0000  6 Se 3.02-3.03
Se1 0.2559 0.7441 0.0000  1 Pm 3.02, 5 Sr 3.09-3.16
Se2 0.2597 0.2597 0.5000  2 Pm 3.03, 4 Sr 3.09-3.15
Se3 0.7403 0.7403 0.5000  2 Pm 3.03, 4 Sr 3.09-3.15
Se4 0.7441 0.2559 0.0000  1 Pm 3.02, 5 Sr 3.09-3.16

# 16
Density functional theory data (PBE) for Na4Bi2Pb5 after structural relaxation.

Calculated values
Energy of formation from the pure elements in meV/atom: -121

Cell: 8.6523 3.3893 11.4417 Å, 90.00 94.47 90.00°
With the nearest neighbours (Å) after each atom.
Fractional positions:
Na1 0.1700 0.0000 0.3937  2 Na 3.39, 2 Bi 3.44, 8 Pb 3.46-3.69
Na2 0.2870 0.0000 0.9423  2 Na 3.39, 6 Pb 3.46-3.67, 4 Bi 3.51-3.53
Na3 0.7130 0.0000 0.0577  2 Na 3.39, 6 Pb 3.46-3.67, 4 Bi 3.51-3.53
Na4 0.8300 0.0000 0.6063  2 Na 3.39, 2 Bi 3.44, 8 Pb 3.46-3.69
Bi1 0.0636 0.5000 0.1380  3 Bi 3.26-3.39, 2 Pb 3.30-3.32, 6 Na 3.44-3.53
Bi2 0.9364 0.5000 0.8620  3 Bi 3.26-3.39, 2 Pb 3.30-3.32, 6 Na 3.44-3.53
Pb1 0.1899 0.5000 0.6612  1 Bi 3.30, 4 Pb 3.37-3.39, 6 Na 3.49-3.67
Pb2 0.4432 0.5000 0.2100  4 Pb 3.32-3.39, 1 Bi 3.32, 6 Na 3.46-3.69
Pb3 0.5000 0.5000 0.5000  6 Pb 3.32-3.39, 4 Na 3.46
Pb4 0.5568 0.5000 0.7900  4 Pb 3.32-3.39, 1 Bi 3.32, 6 Na 3.46-3.69
Pb5 0.8101 0.5000 0.3388  1 Bi 3.30, 4 Pb 3.37-3.39, 6 Na 3.49-3.67

# 17
Density functional theory data (PBE) for ScNi4B2 after structural relaxation.

Calculated values
Energy of formation from the pure elements in meV/atom: -194

Cell: 4.7580 4.7580 4.7580 Å, 124.80 118.66 87.12°
With the nearest neighbours (Å) after each atom.
Fractional positions:
Sc1 0.0000 0.0000 0.0000  12 Ni 2.56-2.78, 4 B 2.60
Ni1 0.0714 0.3251 0.7463  2 B 2.15, 1 Ni 2.39
Ni2 0.4212 0.6749 0.7463  2 B 2.15, 1 Ni 2.39
Ni3 0.5788 0.3251 0.2537  2 B 2.15, 1 Ni 2.39
Ni4 0.9286 0.6749 0.2537  2 B 2.15, 1 Ni 2.39
B1 0.5000 0.2089 0.7089  1 B 1.84
B2 0.5000 0.7911 0.2911  1 B 1.84

# 18
Density functional theory data (PBE) for PrAl5Cu3 after structural relaxation.

Calculated values
Energy of formation from the pure elements in meV/atom: -303

Cell: 6.5938 6.5938 12.5837 Å, 90.00 90.00 145.09°
With the nearest neighbours (Å) after each atom.
Fractional positions:
Pr1 0.1573 0.8427 0.7500  7 Cu 3.31-3.60, 8 Al 3.54-3.57
Pr2 0.8427 0.1573 0.2500  7 Cu 3.31-3.60, 8 Al 3.54-3.57
Al1 0.0000 0.0000 0.0000  4 Cu 2.48, 2 Al 2.65
Al2 0.0000 0.0000 0.5000  4 Cu 2.48, 2 Al 2.65
Al3 0.1997 0.8003 0.0660  4 Cu 2.40-2.67, 1 Al 2.65
Al4 0.1997 0.8003 0.4340  4 Cu 2.40-2.67, 1 Al 2.65
Al5 0.4435 0.5565 0.6488  4 Cu 2.48-2.53, 1 Al 2.55
Al6 0.4435 0.5565 0.8512  4 Cu 2.48-2.53, 1 Al 2.55
Al7 0.5565 0.4435 0.1488  4 Cu 2.48-2.53, 1 Al 2.55
Al8 0.5565 0.4435 0.3512  4 Cu 2.48-2.53, 1 Al 2.55
Al9 0.8003 0.1997 0.5661  4 Cu 2.40-2.67, 1 Al 2.65
Al10 0.8003 0.1997 0.9340  4 Cu 2.40-2.67, 1 Al 2.65
Cu1 0.1289 0.8711 0.2500  6 Al 2.48-2.52
Cu2 0.3892 0.6108 0.0448  7 Al 2.40-2.67
Cu3 0.3892 0.6108 0.4552  7 Al 2.40-2.67
Cu4 0.6108 0.3892 0.5448  7 Al 2.40-2.67
Cu5 0.6108 0.3892 0.9552  7 Al 2.40-2.67
Cu6 0.8711 0.1289 0.7500  6 Al 2.48-2.52

# 19
Density functional theory data (PBE) for SrFeGe2B after structural relaxation.

Calculated values
Energy of formation from the pure elements in meV/atom: 2459

Cell: 5.7647 5.7647 5.0756 Å, 90.00 90.00 90.00°
With the nearest neighbours (Å) after each atom.
Fractional positions:
Sr1 0.0000 0.0000 0.0000  2 Fe 2.54
Fe1 0.0000 0.0000 0.5000  2 Sr 2.54
Ge1 0.0000 0.5000 0.0000  2 Sr 2.88
Ge2 0.5000 0.0000 0.0000  2 Sr 2.88
B1 0.5000 0.5000 0.5000  8 Ge 3.84, 4 Fe 4.08

# 20
Density functional theory data (PBE) for PrSn2 after structural relaxation.

Calculated values
Energy of formation from the pure elements in meV/atom: -643

Cell: 4.5133 4.6518 8.4456 Å, 90.00 105.62 90.00°
With the nearest neighbours (Å) after each atom.
Fractional positions:
Pr1 0.1447 0.0000 0.2892  10 Sn 3.26-3.61
Pr2 0.8553 0.0000 0.7108  10 Sn 3.26-3.61
Sn1 0.0000 0.5000 0.0000  4 Sn 3.24, 4 Pr 3.31
Sn2 0.3145 0.5000 0.6288  2 Sn 3.08, 4 Pr 3.31
Sn3 0.5000 0.0000 0.0000  4 Sn 3.24, 4 Pr 3.26
Sn4 0.6855 0.5000 0.3712  2 Sn 3.08, 4 Pr 3.31

Per-record calculated volume, Å³/cell: 194.31, 165.91, 123.90, 346.39, 147.11, 105.53, 110.97, 284.56, 159.75, 115.16, 66.72, 46.31, 113.64, 89.81, 236.18, 334.52, 73.79, 313.11, 168.67, 170.76